Tb3Sn3Hg after structural relaxation, computed with PBE-GGA.

The value obtained for the calculated volume is 32.31 A^3/atom. The energy of formation from the pure elements is -370 meV/atom.

It has space group P6_3/m (No. 176), with a = 9.2011 Å, b = 9.2011 Å, c = 6.1701 Å, α = 90.00°, β = 90.00° and γ = 120.00°. The asymmetric unit holds Tb at (0.0431, 0.6753, 0.2500), Sn at (0.0367, 0.7009, 0.7500) and Hg at (0.3333, 0.6667, 0.7500).